Entry 1:
# NaPtRhO4 | Alexandria via LeMat-Bulk | GGA-PBE | relaxed
data_NaPtRhO4
_space_group_name_H-M_alt 'I m m a'
_space_group_IT_number 74
_space_group_name_Hall '-I 2b 2'
_cell_length_a 6.324
_cell_length_b 6.361
_cell_length_c 8.967
_cell_angle_alpha 90.00
_cell_angle_beta 90.00
_cell_angle_gamma 90.00
loop_
_atom_site_label
_atom_site_fract_x
_atom_site_fract_y
_atom_site_fract_z
Na1 0.000 0.250 0.128
Pt1 0.000 0.000 0.500
Rh1 0.250 0.250 0.750
O1 0.000 0.040 0.729
O2 0.208 0.250 0.519
# Formation energy from raw total energies, eV per atom: -0.908

---

Entry 2:
# Na3PtRh3O8 | Alexandria via LeMat-Bulk | GGA-PBE | relaxed
data_Na3PtRh3O8
_space_group_name_H-M_alt 'R -3 m'
_space_group_IT_number 166
_space_group_name_Hall '-R 3 2"'
_cell_length_a 6.3007
_cell_length_b 6.3007
_cell_length_c 15.8969
_cell_angle_alpha 90.00
_cell_angle_beta 90.00
_cell_angle_gamma 120.00
loop_
_atom_site_label
_atom_site_fract_x
_atom_site_fract_y
_atom_site_fract_z
Na1 0.0000 0.5000 0.0000
Pt1 0.0000 0.0000 0.5000
Rh1 0.0000 0.5000 0.5000
O1 0.0000 0.0000 0.2325
O2 0.0036 0.5018 0.2305
# Formation energy from raw total energies, eV per atom: -1.012

---

Entry 3:
# Na2Pt2RhO6 | Alexandria via LeMat-Bulk | GGA-PBE | relaxed
data_Na2Pt2RhO6
_space_group_name_H-M_alt 'C 1 2/m 1'
_space_group_IT_number 12
_space_group_name_Hall '-C 2y'
_cell_length_a 5.693
_cell_length_b 9.428
_cell_length_c 5.623
_cell_angle_alpha 90.00
_cell_angle_beta 109.65
_cell_angle_gamma 90.00
loop_
_atom_site_label
_atom_site_fract_x
_atom_site_fract_y
_atom_site_fract_z
Na1 0.000 0.169 0.000
Pt1 0.000 0.336 0.500
Rh1 0.000 0.000 0.500
O1 0.221 0.170 0.688
O2 0.239 0.500 0.686
# N(E_F), states/eV per atom: 0.360
# Formation energy from raw total energies, eV per atom: -0.826

---

Entry 4:
# Na4Pt3RhO8 | Alexandria via LeMat-Bulk | GGA-PBE | relaxed
data_Na4Pt3RhO8
_space_group_name_H-M_alt 'C 1 2/m 1'
_space_group_IT_number 12
_space_group_name_Hall '-C 2y'
_cell_length_a 12.012
_cell_length_b 6.191
_cell_length_c 6.055
_cell_angle_alpha 90.00
_cell_angle_beta 115.33
_cell_angle_gamma 90.00
loop_
_atom_site_label
_atom_site_fract_x
_atom_site_fract_y
_atom_site_fract_z
Na1 0.000 0.000 0.000
Na2 0.000 0.500 0.000
Na3 0.250 0.250 0.500
Pt1 0.000 0.000 0.500
Pt2 0.250 0.250 0.000
Rh1 0.000 0.500 0.500
O1 0.039 0.250 0.324
O2 0.183 0.500 0.757
O3 0.185 0.000 0.754
# N(E_F), states/eV per atom: 0.392
# Formation energy from raw total energies, eV per atom: -0.964

---

Entry 5:
# Na2PtRhO4 | Alexandria via LeMat-Bulk | GGA-PBE | relaxed
data_Na2PtRhO4
_space_group_name_H-M_alt 'P 1 2/m 1'
_space_group_IT_number 10
_space_group_name_Hall '-P 2y'
_cell_length_a 5.961
_cell_length_b 3.089
_cell_length_c 6.030
_cell_angle_alpha 90.00
_cell_angle_beta 114.68
_cell_angle_gamma 90.00
loop_
_atom_site_label
_atom_site_fract_x
_atom_site_fract_y
_atom_site_fract_z
Na1 0.000 0.000 0.000
Na2 0.500 0.500 0.500
Pt1 0.000 0.000 0.500
Rh1 0.500 0.500 0.000
O1 0.131 0.500 0.744
O2 0.425 0.000 0.174
# N(E_F), states/eV per atom: 0.475
# Formation energy from raw total energies, eV per atom: -0.998

---

Entry 6:
# NaPtRhO6 | Alexandria via LeMat-Bulk | GGA-PBE | relaxed
data_NaPtRhO6
_space_group_name_H-M_alt 'P -3 1 c'
_space_group_IT_number 163
_space_group_name_Hall '-P 3 2c'
_cell_length_a 5.2796
_cell_length_b 5.2796
_cell_length_c 10.1388
_cell_angle_alpha 90.00
_cell_angle_beta 90.00
_cell_angle_gamma 120.00
loop_
_atom_site_label
_atom_site_fract_x
_atom_site_fract_y
_atom_site_fract_z
Na1 0.0000 0.0000 0.0000
Pt1 0.3333 0.6667 0.2500
Rh1 0.3333 0.6667 0.7500
O1 0.0025 0.3781 0.6448
# N(E_F), states/eV per atom: 0.740
# Formation energy from raw total energies, eV per atom: -0.608